Below is crystalline BWCl2 at its relaxed geometry, with properties calculated at the GGA-PBE level.

```
4
Lattice="1.512 0.873 8.685 -1.512 0.873 8.685 0.000 -1.745 8.685" Properties=species:S:1:pos:R:3 pbc="T T T"
B 0.000 0.000 0.000
W 0.000 0.000 13.027
Cl 0.000 0.000 10.729
Cl 0.000 0.000 15.325
```

Values from the calculation:
Energy above the most stable polymorph in this dataset: 500.8 meV per atom
Raw total energy: -4.696 eV per atom
V: 69 Å³/cell
ΔE_f (raw): 1.135 eV per atom